(1)
The following is a DFT calculation (meta-GGA SCAN) of ZrTa2Zn at its PBEsol-relaxed geometry.

Lattice parameters (Å, degrees): 9.9410 2.9489 5.0018 90.00 103.25 90.00
Space group C2/m (No. 12)
Unique sites:
Zr: 0.0000 0.0000 0.0000 [2 per cell]
Ta: 0.2347 0.0000 0.7312 [4 per cell]
Zn: 0.0000 0.5000 0.5000 [2 per cell]

Results
Magnetization = 0.00 μB/f.u.
Energy relative to the elements = 0.05 eV/atom


(2)
The following is a DFT calculation (meta-GGA SCAN) of ZrTaZn at its PBEsol-relaxed geometry.

Lattice parameters (Å, degrees): 2.8514 2.8514 12.9947 90.00 90.00 90.00
Space group I4mm (No. 107)
Unique sites:
Zr: 0.0000 0.0000 0.0000 [2 per cell]
Ta: 0.0000 0.0000 0.6815 [2 per cell]
Zn: 0.0000 0.0000 0.3341 [2 per cell]

Results
Magnetization = 0.00 μB/f.u.
Energy relative to the elements = -0.04 eV/atom
Relative energy among the computed polymorphs = 0.0 kJ/mol of atoms


(3)
The following is a DFT calculation (meta-GGA SCAN) of ZrTaZn at its PBEsol-relaxed geometry.

Lattice parameters (Å, degrees): 3.0506 3.7330 9.3785 90.00 90.00 90.00
Space group Imm2 (No. 44)
Unique sites:
Zr: 0.0000 0.0000 0.0000 [2 per cell]
Ta: 0.0000 0.0000 0.3206 [2 per cell]
Zn: 0.0000 0.0000 0.6722 [2 per cell]

Results
Magnetization = 0.00 μB/f.u.
Energy relative to the elements = -0.03 eV/atom
Relative energy among the computed polymorphs = 0.9 kJ/mol of atoms


(4)
The following is a DFT calculation (meta-GGA SCAN) of Zr2TaZn at its PBEsol-relaxed geometry.

Lattice parameters (Å, degrees): 3.4109 3.4109 6.4459 90.00 90.00 90.00
Space group P4/mmm (No. 123)
Unique sites:
Zr: 0.0000 0.0000 0.2476 [2 per cell]
Ta: 0.5000 0.5000 0.5000 [1 per cell]
Zn: 0.5000 0.5000 0.0000 [1 per cell]

Results
Magnetization = 0.00 μB/f.u.
Energy relative to the elements = -0.10 eV/atom


(5)
The following is a DFT calculation (meta-GGA SCAN) of ZrTa at its PBEsol-relaxed geometry.

Lattice parameters (Å, degrees): 3.3297 3.3297 7.1539 90.00 90.00 90.00
Space group P4/nmm (No. 129, origin choice 2)
Unique sites:
Zr: 0.2500 0.2500 0.1436 [2 per cell]
Ta: 0.2500 0.2500 0.6021 [2 per cell]

Results
Magnetization = 0.00 μB/f.u.
Energy relative to the elements = 0.07 eV/atom


(6)
The following is a DFT calculation (meta-GGA SCAN) of ZrTa2 at its PBEsol-relaxed geometry.

Lattice parameters (Å, degrees): 3.3373 3.3373 10.2929 90.00 90.00 90.00
Space group I4/mmm (No. 139)
Unique sites:
Zr: 0.0000 0.0000 0.0000 [2 per cell]
Ta: 0.0000 0.0000 0.3197 [4 per cell]

Results
Magnetization = 0.00 μB/f.u.
Energy relative to the elements = 0.09 eV/atom
Relative energy among the computed polymorphs = 6.9 kJ/mol of atoms